Record 1
Material: KYP2
Method: DFT, PBE
State: relaxed

Cell lengths 5.976, 5.976, 5.976 Å; angles 139.03, 139.03, 59.34 degrees
Atoms (fractional coordinates):
K1 0.750 0.250 0.500
P1 0.000 0.000 0.000
P2 0.250 0.750 0.500
Y1 0.500 0.500 0.000

Computed properties:
Its excess energy over the best structure of this formula in the dataset is 0.5829 eV per atom.

=====

Record 2
Material: CaMg
Method: DFT, PBE
State: relaxed

Cell lengths 6.780, 9.847, 11.622 Å; angles 90.00, 90.00, 90.00 degrees
Atoms (fractional coordinates):
Mg1 0.750 0.114 0.626
Mg2 0.250 0.450 0.077
Ca1 0.000 0.250 0.875
Ca2 0.750 0.371 0.177
Ca3 0.250 0.541 0.365
Mg3 0.500 0.750 0.573
Mg4 0.500 0.250 0.427
Ca4 0.500 0.250 0.875
Ca5 0.250 0.629 0.823
Ca6 0.750 0.871 0.823
Ca7 0.750 0.459 0.635
Ca8 0.250 0.041 0.635
Mg5 0.250 0.950 0.923
Ca9 0.750 0.959 0.365
Mg6 0.000 0.750 0.573
Mg7 0.750 0.614 0.374
Mg8 0.250 0.886 0.374
Ca10 0.000 0.750 0.125
Mg9 0.250 0.386 0.626
Ca11 0.500 0.750 0.125
Mg10 0.750 0.050 0.077
Ca12 0.250 0.129 0.177
Mg11 0.000 0.250 0.427
Mg12 0.750 0.550 0.923

Computed properties:
The value obtained for the final energy is -3.64 eV/f.u.

=====

What are the magnetization values for these records? In order: 0.00; 0.00 μB per formula unit.